1.
BiIO4, optimized geometry, DFT GGA-PBE; space-group type = No. 14; mass density = 7.7 g/cm³; uncorrected formation energy = -571.6 meV per atom; M_tot = 0.0 μB per formula unit
1.0
-3.200 -1.925 4.129
0.958 -5.199 -1.681
4.687 -0.113 3.020
O Bi I
8 2 2
Direct
0.371 0.854 0.180 O
0.629 0.146 0.820 O
0.304 0.321 0.350 O
0.804 0.179 0.350 O
0.871 0.646 0.180 O
0.129 0.354 0.820 O
0.196 0.821 0.650 O
0.696 0.679 0.650 O
0.500 0.500 0.000 Bi
0.000 0.000 0.000 Bi
0.500 0.000 0.500 I
0.000 0.500 0.500 I

***

2.
CaTlCd2, optimized geometry, DFT GGA-PBE; space-group type = No. 225; energy of formation = -4.6 kcal/mol of atoms; mass density = 7.4 g/cm³; M_tot = 0.0 μB per formula unit
1.0
0.000 3.743 3.743
3.743 0.000 3.743
3.743 3.743 0.000
Cd Tl Ca
2 1 1
Direct
0.250 0.250 0.250 Cd
0.750 0.750 0.750 Cd
0.500 0.500 0.500 Tl
0.000 0.000 0.000 Ca

***

3.
La2TcAu, optimized geometry, DFT GGA-PBE; space-group type = No. 122; energy of formation = -1.0 kcal/mol of atoms; mass density = 9.4 g/cm³; M_tot = 0.0 μB per formula unit
1.0
7.946 0.000 0.000
0.000 7.946 0.000
3.973 3.973 3.196
La Au Tc
4 2 2
Direct
0.168 0.625 0.250 La
0.582 0.125 0.250 La
0.375 0.418 0.750 La
0.875 0.832 0.750 La
0.750 0.250 0.500 Au
0.000 0.000 0.000 Au
0.500 0.500 0.000 Tc
0.250 0.750 0.500 Tc

***

4.
DyRhPb2O6, optimized geometry, DFT GGA-PBE; space-group type = No. 14; mass density = 9.2 g/cm³; uncorrected formation energy = -1536.1 meV per atom; M_tot = 0.0 μB per formula unit
1.0
-2.091 -1.170 -5.271
4.601 -3.487 -1.051
-4.160 -6.416 3.077
O Rh Dy Pb
12 2 2 4
Direct
0.777 0.808 0.551 O
0.723 0.308 0.949 O
0.595 0.029 0.266 O
0.405 0.971 0.734 O
0.817 0.783 0.954 O
0.183 0.217 0.046 O
0.317 0.717 0.454 O
0.905 0.529 0.234 O
0.683 0.283 0.546 O
0.223 0.192 0.449 O
0.095 0.471 0.766 O
0.277 0.692 0.051 O
0.000 0.500 0.000 Rh
0.500 0.000 0.500 Rh
0.500 0.000 0.000 Dy
0.000 0.500 0.500 Dy
0.491 0.460 0.252 Pb
0.509 0.540 0.748 Pb
0.009 0.960 0.248 Pb
0.991 0.040 0.752 Pb